! La2PmWO8 PBE with a Hubbard U relaxed; values from VASP
&SYSTEM
  ibrav = 0, nat = 12, ntyp = 4
/
ATOMIC_SPECIES
O 16.00 O.upf
W 183.84 W.upf
La 138.91 La.upf
Pm 145.00 Pm.upf
ATOMIC_POSITIONS crystal
O 0.402 0.172 0.000
O 0.598 0.828 0.000
O 0.068 0.771 0.796
O 0.447 0.250 0.500
O 0.068 0.771 0.204
O 0.932 0.229 0.796
O 0.553 0.750 0.500
O 0.932 0.229 0.204
W 0.000 0.000 0.000
La 0.500 0.500 0.248
La 0.500 0.500 0.752
Pm 0.000 0.000 0.500
CELL_PARAMETERS angstrom
-1.235 3.484 2.444
-3.636 -3.448 2.330
4.891 -1.776 5.003
! VASP energy   -0.57748 Ry/atom